1.
Compound: KMo2H
Source: the Alexandria database
Functional: PBE
Structure: relaxed

abc: 6.298 6.298 6.298
angles: 90.00 90.00 90.00
Space group Fm-3m (No. 225)
Asymmetric unit:
K  0.000  0.000  0.000 (multiplicity 4)
Mo  0.250  0.250  0.250 (multiplicity 8)
H  0.000  0.000  0.500 (multiplicity 4)

Calculated values
- Crystal system: cubic
- Excess energy over the best structure of this formula in the dataset: 1486.8 meV per atom

---

2.
Compound: NaHg2ClO2
Source: the Alexandria database
Functional: PBE
Structure: relaxed

abc: 11.338 6.076 6.408
angles: 90.00 90.00 90.00
Space group Cmcm (No. 63)
Asymmetric unit:
Na  0.000  0.075  0.250 (multiplicity 4)
Hg  0.219  0.287  0.750 (multiplicity 8)
Cl  0.000  0.454  0.750 (multiplicity 4)
O  0.174  0.000  0.000 (multiplicity 8)

Calculated values
- Crystal system: orthorhombic
- Formation energy (no corrections): -0.58 eV per atom

---

Computed values of Fermi-level density of states (unit: states/eV/cell) for the preceding records, in sequence: 17.0; 3.6.